# 1
Mo2PbN | PBE-GGA | optimized geometry Values from VASP.

Computed properties:
As for the space-group type: Fm-3m. The total energy is -6.901 eV/atom. The calculation puts the formation energy without anion corrections at 1.523 eV/atom. The calculation puts the total magnetic moment at 0.235 μB/atom.

Cell and atoms, written as Quantum ESPRESSO input:
```
&SYSTEM
  ibrav = 0, nat = 4, ntyp = 3
/
ATOMIC_SPECIES
Mo 95.94 Mo.upf
Pb 207.20 Pb.upf
N 14.01 N.upf
CELL_PARAMETERS angstrom
0.000 3.158 3.158
3.158 0.000 3.158
3.158 3.158 0.000
ATOMIC_POSITIONS crystal
Mo 0.250 0.250 0.250
Mo 0.750 0.750 0.750
Pb 0.000 0.000 0.000
N 0.500 0.500 0.500
```

***

# 2
MoPbN2 | PBE-GGA | optimized geometry Values from VASP.

Computed properties:
As for the space-group type: I-42d. The total energy is -7.702 eV/atom. The calculation puts the formation energy without anion corrections at 0.095 eV/atom. The calculation puts the total magnetic moment at 0.000 μB/atom.

Cell and atoms, written as Quantum ESPRESSO input:
```
&SYSTEM
  ibrav = 0, nat = 8, ntyp = 3
/
ATOMIC_SPECIES
Mo 95.94 Mo.upf
Pb 207.20 Pb.upf
N 14.01 N.upf
CELL_PARAMETERS angstrom
-2.731 2.731 4.764
2.731 -2.731 4.764
2.731 2.731 -4.764
ATOMIC_POSITIONS crystal
Mo 0.000 0.000 0.000
Mo 0.750 0.250 0.500
Pb 0.250 0.750 0.500
Pb 0.500 0.500 0.000
N 0.375 0.236 0.361
N 0.764 0.125 0.139
N 0.875 0.014 0.639
N 0.986 0.625 0.861
```

***

# 3
MoPb3N | PBE-GGA | optimized geometry Values from VASP.

Computed properties:
As for the space-group type: Pm-3m. The total energy is -4.730 eV/atom. The calculation puts the formation energy without anion corrections at 1.326 eV/atom. The calculation puts the total magnetic moment at 0.598 μB/atom.

Cell and atoms, written as Quantum ESPRESSO input:
```
&SYSTEM
  ibrav = 0, nat = 5, ntyp = 3
/
ATOMIC_SPECIES
Mo 95.94 Mo.upf
Pb 207.20 Pb.upf
N 14.01 N.upf
CELL_PARAMETERS angstrom
5.400 0.000 0.000
0.000 5.400 0.000
0.000 0.000 5.400
ATOMIC_POSITIONS crystal
Mo 0.000 0.000 0.000
Pb 0.000 0.000 0.500
Pb 0.000 0.500 0.000
Pb 0.500 0.000 0.000
N 0.500 0.500 0.500
```

***

# 4
MoPbN2 | PBE-GGA | optimized geometry Values from VASP.

Computed properties:
As for the space-group type: R-3m. The total energy is -6.875 eV/atom. The calculation puts the formation energy without anion corrections at 0.922 eV/atom. The calculation puts the total magnetic moment at 0.000 μB/atom.

Cell and atoms, written as Quantum ESPRESSO input:
```
&SYSTEM
  ibrav = 0, nat = 4, ntyp = 3
/
ATOMIC_SPECIES
Mo 95.94 Mo.upf
Pb 207.20 Pb.upf
N 14.01 N.upf
CELL_PARAMETERS angstrom
1.677 0.968 6.590
-1.677 0.968 6.590
0.000 -1.936 6.590
ATOMIC_POSITIONS crystal
Mo 0.000 0.000 0.000
Pb 0.500 0.500 0.500
N 0.096 0.096 0.096
N 0.904 0.904 0.904
```

***

# 5
MoPbN3 | PBE-GGA | optimized geometry Values from VASP.

Computed properties:
As for the space-group type: Pm-3m. The total energy is -5.469 eV/atom. The calculation puts the formation energy without anion corrections at 2.434 eV/atom. The calculation puts the total magnetic moment at 0.274 μB/atom.

Cell and atoms, written as Quantum ESPRESSO input:
```
&SYSTEM
  ibrav = 0, nat = 5, ntyp = 3
/
ATOMIC_SPECIES
Mo 95.94 Mo.upf
Pb 207.20 Pb.upf
N 14.01 N.upf
CELL_PARAMETERS angstrom
4.196 0.000 0.000
0.000 4.196 0.000
0.000 0.000 4.196
ATOMIC_POSITIONS crystal
Mo 0.000 0.000 0.000
Pb 0.500 0.500 0.500
N 0.000 0.500 0.500
N 0.500 0.000 0.500
N 0.500 0.500 0.000
```

***

# 6
Mo5Pb3N12 | PBE-GGA | optimized geometry Values from VASP.

Computed properties:
As for the space-group type: Ia-3d. The total energy is -8.139 eV/atom. The calculation puts the formation energy without anion corrections at 0.120 eV/atom. The calculation puts the total magnetic moment at 0.000 μB/atom.

Cell and atoms, written as Quantum ESPRESSO input:
```
&SYSTEM
  ibrav = 0, nat = 80, ntyp = 3
/
ATOMIC_SPECIES
Mo 95.94 Mo.upf
Pb 207.20 Pb.upf
N 14.01 N.upf
CELL_PARAMETERS angstrom
-6.594 6.594 6.594
6.594 -6.594 6.594
6.594 6.594 -6.594
ATOMIC_POSITIONS crystal
Mo 0.000 0.000 0.000
Mo 0.000 0.000 0.500
Mo 0.000 0.500 0.000
Mo 0.000 0.500 0.500
Mo 0.125 0.750 0.875
Mo 0.125 0.875 0.250
Mo 0.250 0.125 0.875
Mo 0.250 0.625 0.375
Mo 0.375 0.250 0.625
Mo 0.375 0.625 0.750
Mo 0.500 0.000 0.000
Mo 0.500 0.000 0.500
Mo 0.500 0.500 0.000
Mo 0.500 0.500 0.500
Mo 0.625 0.375 0.250
Mo 0.625 0.750 0.375
Mo 0.750 0.375 0.625
Mo 0.750 0.875 0.125
Mo 0.875 0.125 0.750
Mo 0.875 0.250 0.125
Pb 0.125 0.250 0.375
Pb 0.125 0.375 0.750
Pb 0.250 0.375 0.125
Pb 0.250 0.875 0.625
Pb 0.375 0.125 0.250
Pb 0.375 0.750 0.125
Pb 0.625 0.250 0.875
Pb 0.625 0.875 0.750
Pb 0.750 0.125 0.375
Pb 0.750 0.625 0.875
Pb 0.875 0.625 0.250
Pb 0.875 0.750 0.625
N 0.003 0.187 0.105
N 0.003 0.317 0.898
N 0.081 0.687 0.683
N 0.081 0.895 0.398
N 0.102 0.605 0.419
N 0.102 0.997 0.683
N 0.105 0.003 0.187
N 0.105 0.602 0.919
N 0.183 0.187 0.581
N 0.183 0.497 0.602
N 0.187 0.105 0.003
N 0.187 0.581 0.183
N 0.313 0.317 0.919
N 0.313 0.497 0.395
N 0.317 0.898 0.003
N 0.317 0.919 0.313
N 0.395 0.313 0.497
N 0.395 0.581 0.898
N 0.398 0.081 0.895
N 0.398 0.817 0.503
N 0.419 0.102 0.605
N 0.419 0.817 0.813
N 0.497 0.395 0.313
N 0.497 0.602 0.183
N 0.503 0.398 0.817
N 0.503 0.605 0.687
N 0.581 0.183 0.187
N 0.581 0.898 0.395
N 0.602 0.183 0.497
N 0.602 0.919 0.105
N 0.605 0.419 0.102
N 0.605 0.687 0.503
N 0.683 0.081 0.687
N 0.683 0.102 0.997
N 0.687 0.503 0.605
N 0.687 0.683 0.081
N 0.813 0.419 0.817
N 0.813 0.895 0.997
N 0.817 0.503 0.398
N 0.817 0.813 0.419
N 0.895 0.398 0.081
N 0.895 0.997 0.813
N 0.898 0.003 0.317
N 0.898 0.395 0.581
N 0.919 0.105 0.602
N 0.919 0.313 0.317
N 0.997 0.683 0.102
N 0.997 0.813 0.895
```

***

# 7
SrMo2PbN | PBE-GGA | optimized geometry Values from VASP.

Computed properties:
As for the space-group type: P4/mmm. The total energy is -4.987 eV/atom. The calculation puts the formation energy without anion corrections at 2.089 eV/atom. The calculation puts the total magnetic moment at 1.386 μB/atom.

Cell and atoms, written as Quantum ESPRESSO input:
```
&SYSTEM
  ibrav = 0, nat = 5, ntyp = 4
/
ATOMIC_SPECIES
Sr 87.62 Sr.upf
Mo 95.94 Mo.upf
Pb 207.20 Pb.upf
N 14.01 N.upf
CELL_PARAMETERS angstrom
5.395 0.000 0.000
0.000 5.395 0.000
0.000 0.000 4.705
ATOMIC_POSITIONS crystal
Sr 0.000 0.000 0.000
Mo 0.000 0.500 0.500
Mo 0.500 0.000 0.500
Pb 0.500 0.500 0.500
N 0.500 0.500 0.000
```

***

# 8
MoPbW2N | PBE-GGA | optimized geometry Values from VASP.

Computed properties:
As for the space-group type: P4/mmm. The total energy is -6.425 eV/atom. The calculation puts the formation energy without anion corrections at 3.329 eV/atom. The calculation puts the total magnetic moment at 0.526 μB/atom.

Cell and atoms, written as Quantum ESPRESSO input:
```
&SYSTEM
  ibrav = 0, nat = 5, ntyp = 4
/
ATOMIC_SPECIES
Mo 95.94 Mo.upf
Pb 207.20 Pb.upf
W 183.84 W.upf
N 14.01 N.upf
CELL_PARAMETERS angstrom
5.154 0.000 0.000
0.000 5.154 0.000
0.000 0.000 3.928
ATOMIC_POSITIONS crystal
Mo 0.000 0.000 0.000
Pb 0.500 0.500 0.500
W 0.000 0.500 0.500
W 0.500 0.000 0.500
N 0.500 0.500 0.000
```